This record from Alexandria via LeMat-Bulk describes a relaxed AgPd8Au6 crystal. The functional is PBE-GGA.

```
data_AgPd8Au6
_symmetry_space_group_name_H-M 'P -3'
_symmetry_Int_Tables_number 147
_symmetry_space_group_name_Hall '-P 3'
_cell_length_a 10.5768
_cell_length_b 10.5768
_cell_length_c 2.7914
_cell_angle_alpha 90.00
_cell_angle_beta 90.00
_cell_angle_gamma 120.00
loop_
_atom_site_label
_atom_site_type_symbol
_atom_site_fract_x
_atom_site_fract_y
_atom_site_fract_z
Ag1 Ag 0.0000 0.0000 0.0000
Pd1 Pd 0.0744 0.2748 0.7073
Pd2 Pd 0.3333 0.6667 0.2804
Au1 Au 0.0933 0.6325 0.7783
```

Output
Its total DFT energy (no corrections) is -61.88 eV per cell. For the magnetization, the calculation gives 0.0 μB per formula unit. The calculation puts the density of states at the Fermi level at 1.27 states/eV per atom.

---

This record from Alexandria via LeMat-Bulk describes a relaxed SrCu2GeC crystal. The functional is PBE-GGA.

```
data_SrCu2GeC
_symmetry_space_group_name_H-M 'P 4/m m m'
_symmetry_Int_Tables_number 123
_symmetry_space_group_name_Hall '-P 4 2'
_cell_length_a 4.094
_cell_length_b 4.094
_cell_length_c 5.028
_cell_angle_alpha 90.00
_cell_angle_beta 90.00
_cell_angle_gamma 90.00
loop_
_atom_site_label
_atom_site_type_symbol
_atom_site_fract_x
_atom_site_fract_y
_atom_site_fract_z
Sr1 Sr 0.000 0.000 0.000
Cu1 Cu 0.000 0.500 0.500
Ge1 Ge 0.500 0.500 0.000
C1 C 0.500 0.500 0.500
```

Output
Its total DFT energy (no corrections) is -21.24 eV per cell. For the magnetization, the calculation gives 0.0 μB per formula unit. The calculation puts the density of states at the Fermi level at 0.45 states/eV per atom.

---

> magnetization of number 1 (AgPd8Au6)?

0.0 μB per formula unit